(a)
Computed, not measured: a relaxed structure of LiCaAcAg at the PBE level of DFT.

Cell lengths 5.5045, 5.5045, 5.5045 Å; angles 60.00, 60.00, 60.00 degrees
Closest atoms and distances in Å follow each position.
Fractional coordinates of all 4 atoms:
Li 0.0000 0.0000 0.0000  4 Ac 3.37, 4 Ca 3.37
Ca 0.7500 0.7500 0.7500  4 Li 3.37, 4 Ag 3.37
Ac 0.2500 0.2500 0.2500  4 Li 3.37, 4 Ag 3.37
Ag 0.5000 0.5000 0.5000  4 Ac 3.37, 4 Ca 3.37

---

(b)
Computed, not measured: a relaxed structure of LiCaAcAg at the PBE level of DFT.

Cell lengths 4.5565, 6.7075, 6.7075 Å; angles 37.20, 90.00, 90.00 degrees
Closest atoms and distances in Å follow each position.
Fractional coordinates of all 4 atoms:
Li 0.0000 0.0000 0.0000  2 Ag 2.79
Ca 0.5000 0.4259 0.4259  4 Li 3.26, 2 Ag 3.33
Ac 0.0000 0.7150 0.7150  4 Ag 3.32, 3 Li 3.47-3.62
Ag 0.5000 0.1269 0.1269  2 Li 2.79

---

How do the energies compare? Relative to the most stable structure, in eV/atom: (a) 0.012; (b) 0.000.

---

(a)
Computed, not measured: a relaxed structure of CaAcNiAg at the PBE level of DFT.

Cell lengths 4.3046, 6.2719, 6.2719 Å; angles 39.17, 90.00, 90.00 degrees
Closest atoms and distances in Å follow each position.
Fractional coordinates of all 4 atoms:
Ca 0.0000 0.0000 0.0000  4 Ag 3.12, 3 Ni 3.30-3.35
Ac 0.5000 0.7209 0.7209  4 Ni 3.09, 3 Ag 3.25-3.43
Ni 0.0000 0.2790 0.2790  2 Ag 2.80, 4 Ac 3.09
Ag 0.5000 0.4304 0.4304  2 Ni 2.80, 4 Ca 3.12

---

(b)
Computed, not measured: a relaxed structure of CaAcNiAg at the PBE level of DFT.

Cell lengths 5.2722, 5.2722, 5.2722 Å; angles 60.00, 60.00, 60.00 degrees
Closest atoms and distances in Å follow each position.
Fractional coordinates of all 4 atoms:
Ca 0.0000 0.0000 0.0000  4 Ni 3.23, 4 Ag 3.23
Ac 0.5000 0.5000 0.5000  4 Ag 3.23, 4 Ni 3.23
Ni 0.2500 0.2500 0.2500  4 Ac 3.23, 4 Ca 3.23
Ag 0.7500 0.7500 0.7500  4 Ac 3.23, 4 Ca 3.23

---

How do the energies compare? Relative to the most stable structure, in eV/atom: (a) 0.000; (b) 0.099.

---

(a)
Computed, not measured: a relaxed structure of CaAcAgPd at the PBE level of DFT.

Cell lengths 4.5388, 6.2509, 6.2509 Å; angles 39.03, 90.00, 90.00 degrees
Closest atoms and distances in Å follow each position.
Fractional coordinates of all 4 atoms:
Ca 0.0000 0.0000 0.0000  4 Ag 3.16, 3 Pd 3.28-3.34
Ac 0.5000 0.2756 0.2756  4 Pd 3.15, 3 Ag 3.29-3.34
Ag 0.5000 0.5593 0.5593  2 Pd 2.97, 4 Ca 3.16, 2 Ac 3.29
Pd 0.0000 0.7218 0.7218  2 Ag 2.97, 4 Ac 3.15, 1 Ca 3.28

---

(b)
Computed, not measured: a relaxed structure of CaAcAgPd at the PBE level of DFT.

Cell lengths 5.3337, 5.3337, 5.3337 Å; angles 60.00, 60.00, 60.00 degrees
Closest atoms and distances in Å follow each position.
Fractional coordinates of all 4 atoms:
Ca 0.0000 0.0000 0.0000  4 Pd 3.27, 4 Ag 3.27
Ac 0.5000 0.5000 0.5000  4 Ag 3.27, 4 Pd 3.27
Ag 0.7500 0.7500 0.7500  4 Ac 3.27, 4 Ca 3.27
Pd 0.2500 0.2500 0.2500  4 Ac 3.27, 4 Ca 3.27

---

How do the energies compare? Relative to the most stable structure, in eV/atom: (a) 0.000; (b) 0.068.

---

(a)
Computed, not measured: a relaxed structure of CaAcAgPt at the PBE level of DFT.

Cell lengths 4.4575, 6.2315, 6.2315 Å; angles 39.55, 90.00, 90.00 degrees
Closest atoms and distances in Å follow each position.
Fractional coordinates of all 4 atoms:
Ca 0.0000 0.0000 0.0000  4 Ag 3.15, 3 Pt 3.16-3.43
Ac 0.5000 0.2776 0.2776  4 Pt 3.12, 3 Ag 3.29-3.34
Ag 0.5000 0.5624 0.5624  2 Pt 2.97, 4 Ca 3.15, 2 Ac 3.29
Pt 0.0000 0.7302 0.7302  2 Ag 2.97, 4 Ac 3.12, 1 Ca 3.16

---

(b)
Computed, not measured: a relaxed structure of CaAcAgPt at the PBE level of DFT.

Cell lengths 5.2934, 5.2934, 5.2934 Å; angles 60.00, 60.00, 60.00 degrees
Closest atoms and distances in Å follow each position.
Fractional coordinates of all 4 atoms:
Ca 0.0000 0.0000 0.0000  4 Pt 3.24, 4 Ag 3.24
Ac 0.5000 0.5000 0.5000  4 Pt 3.24, 4 Ag 3.24
Ag 0.2500 0.2500 0.2500  4 Ac 3.24, 4 Ca 3.24
Pt 0.7500 0.7500 0.7500  4 Ca 3.24, 4 Ac 3.24

---

How do the energies compare? Relative to the most stable structure, in eV/atom: (a) 0.000; (b) 0.087.

---

(a)
Computed, not measured: a relaxed structure of CaAcAgRh at the PBE level of DFT.

Cell lengths 5.2422, 5.2422, 5.2422 Å; angles 60.00, 60.00, 60.00 degrees
Closest atoms and distances in Å follow each position.
Fractional coordinates of all 4 atoms:
Ca 0.0000 0.0000 0.0000  4 Ag 3.21, 4 Rh 3.21
Ac 0.5000 0.5000 0.5000  4 Ag 3.21, 4 Rh 3.21
Ag 0.7500 0.7500 0.7500  4 Ac 3.21, 4 Ca 3.21
Rh 0.2500 0.2500 0.2500  4 Ac 3.21, 4 Ca 3.21

---

(b)
Computed, not measured: a relaxed structure of CaAcAgRh at the PBE level of DFT.

Cell lengths 4.3425, 6.2636, 6.2636 Å; angles 38.67, 90.00, 90.00 degrees
Closest atoms and distances in Å follow each position.
Fractional coordinates of all 4 atoms:
Ca 0.0000 0.0000 0.0000  4 Ag 3.10, 3 Rh 3.22-3.40
Ac 0.5000 0.2788 0.2788  4 Rh 3.06, 3 Ag 3.28-3.37
Ag 0.5000 0.5639 0.5639  2 Rh 2.91, 4 Ca 3.10
Rh 0.0000 0.7279 0.7279  2 Ag 2.91, 4 Ac 3.06, 1 Ca 3.22

---

How do the energies compare? Relative to the most stable structure, in eV/atom: (a) 0.099; (b) 0.000.

---

(a)
Computed, not measured: a relaxed structure of AcCd2Ag3 at the PBE level of DFT.

Cell lengths 7.1529, 7.1529, 5.7473 Å; angles 90.00, 90.00, 84.96 degrees
Closest atoms and distances in Å follow each position.
Fractional coordinates of all 12 atoms:
Ac 0.2040 0.7960 0.7500  9 Ag 3.38-3.71, 4 Cd 3.71
Ac 0.7960 0.2040 0.2500  9 Ag 3.38-3.71, 4 Cd 3.71
Cd 0.2648 0.2648 0.0000  6 Ag 2.83-3.02, 2 Cd 2.87
Cd 0.2648 0.2648 0.5000  6 Ag 2.83-3.02, 2 Cd 2.87
Cd 0.7352 0.7352 0.0000  6 Ag 2.83-3.02, 2 Cd 2.87
Cd 0.7352 0.7352 0.5000  6 Ag 2.83-3.02, 2 Cd 2.87
Ag 0.0563 0.5912 0.2500  1 Ag 2.78, 4 Cd 2.83-3.02
Ag 0.4088 0.9437 0.2500  1 Ag 2.78, 4 Cd 2.83-3.02
Ag 0.4466 0.5534 0.2500  4 Ag 2.78-3.05, 4 Cd 2.91
Ag 0.5534 0.4466 0.7500  4 Ag 2.78-3.05, 4 Cd 2.91
Ag 0.5912 0.0563 0.7500  1 Ag 2.78, 4 Cd 2.83-3.02
Ag 0.9437 0.4088 0.7500  1 Ag 2.78, 4 Cd 2.83-3.02

---

(b)
Computed, not measured: a relaxed structure of AcCd2Ag3 at the PBE level of DFT.

Cell lengths 5.9797, 5.9797, 4.6323 Å; angles 90.00, 90.00, 120.00 degrees
Closest atoms and distances in Å follow each position.
Fractional coordinates of all 6 atoms:
Ac 0.0000 0.0000 0.0000  6 Cd 3.45, 12 Ag 3.78
Cd 0.3333 0.6667 0.0000  6 Ag 2.89
Cd 0.6667 0.3333 0.0000  6 Ag 2.89
Ag 0.0000 0.5000 0.5000  4 Cd 2.89, 4 Ag 2.99
Ag 0.5000 0.0000 0.5000  4 Cd 2.89, 4 Ag 2.99
Ag 0.5000 0.5000 0.5000  4 Cd 2.89, 4 Ag 2.99

---

How do the energies compare? Relative to the most stable structure, in eV/atom: (a) 0.011; (b) 0.000.